one) Below is a relaxed structure of P, with properties calculated at the PBE-GGA level.

Results
M_tot, μB/cell: 0.00

Lattice parameters (Å, degrees): 3.2785 3.2785 5.5669 90.00 90.00 120.00
Last column: nearest neighbours and their distance in Å.
Space group P-3m1 (No. 164)
One atom of each set of equivalent atoms:
P (0.3333, 0.6667, 0.1111)  3 P 2.26



two) Below is a relaxed structure of P, with properties calculated at the PBE-GGA level.

Results
M_tot, μB/cell: 0.00

Lattice parameters (Å, degrees): 2.4818 2.4818 10.6909 90.00 90.00 90.00
Last column: nearest neighbours and their distance in Å.
Space group I4/mmm (No. 139)
One atom of each set of equivalent atoms:
P (0.0000, 0.0000, 0.1051)  5 P 2.25-2.48



three) Below is a relaxed structure of P, with properties calculated at the PBE-GGA level.

Results
M_tot, μB/cell: 0.00

Lattice parameters (Å, degrees): 7.5413 7.5413 5.0760 90.00 90.00 120.00
Last column: nearest neighbours and their distance in Å.
Space group P6_3/m (No. 176)
One atom of each set of equivalent atoms:
P (0.0351, 0.6599, 0.2500)  2 P 2.22
P (0.0426, 0.3688, 0.2500)  2 P 2.22



Most stable: one). Least stable: three).